Here is a relaxed structure of VIO2F from the Alexandria database. Energies are from PBE+U.

Cell: 3.7012 3.7012 5.7628 Å, 90.00 90.00 90.00°
Fractional positions:
V1 0.0000 0.0000 0.0000
I1 0.0000 0.0000 0.5000
O1 0.0000 0.5000 0.0000
O2 0.5000 0.0000 0.0000
F1 0.5000 0.5000 0.5000

total energy: -5.12 eV/atom
symmetry: P4/mmm
calculated volume: 79 Å³ per cell